LaInNiF2 after structural relaxation. Source: the Alexandria database, functional PBE+U.

The electronic total energy comes out at -3.449 eV/atom. As for the space group: No. 123. The crystal system is tetragonal. As for the magnetic moment: 0.0 μB/cell. The calculation puts the calculated volume at 98.3 Å³/f.u.

```
5
Lattice="4.5376 0.0000 0.0000 0.0000 4.7745 0.0000 0.0000 0.0000 4.5376" Properties=species:S:1:pos:R:3 pbc="T T T"
Ni 0.0000 0.0000 0.0000
F 0.0000 0.0000 2.2688
F 2.2688 0.0000 0.0000
In 2.2688 2.3872 2.2688
La 0.0000 2.3872 0.0000
```